Entry 1:
This record from Alexandria via LeMat-Bulk describes K2TlRu after structural relaxation. The functional is GGA-PBE.

The structure in CIF format:
```
data_K2TlRu
_cell_length_a 3.767
_cell_length_b 3.767
_cell_length_c 10.069
_cell_angle_alpha 90.00
_cell_angle_beta 90.00
_cell_angle_gamma 90.00
_space_group_name_H-M_alt 'P 4 m m'
_space_group_IT_number 99
loop_
_space_group_symop_operation_xyz
'x,y,z'
'-y,x,z'
'-x,-y,z'
'y,-x,z'
'-x,y,z'
'y,x,z'
'x,-y,z'
'-y,-x,z'
loop_
_atom_site_label
_atom_site_type_symbol
_atom_site_fract_x
_atom_site_fract_y
_atom_site_fract_z
K1 K 0.000 0.000 0.000
K2 K 0.500 0.500 0.410
Tl1 Tl 0.500 0.500 0.734
Ru1 Ru 0.000 0.000 0.678
```

***

Entry 2:
This record from Alexandria via LeMat-Bulk describes CaCuTc2 after structural relaxation. The functional is GGA-PBE.

The structure in CIF format:
```
data_CaCuTc2
_cell_length_a 6.429
_cell_length_b 6.429
_cell_length_c 6.429
_cell_angle_alpha 90.00
_cell_angle_beta 90.00
_cell_angle_gamma 90.00
_space_group_name_H-M_alt 'F m -3 m'
_space_group_IT_number 225
_space_group_name_Hall '-F 4 2 3'
loop_
_atom_site_label
_atom_site_type_symbol
_atom_site_fract_x
_atom_site_fract_y
_atom_site_fract_z
Ca1 Ca 0.000 0.000 0.000
Cu1 Cu 0.000 0.000 0.500
Tc1 Tc 0.250 0.250 0.250
```

***

Entry 3:
This record from Alexandria via LeMat-Bulk describes CaScZn3 after structural relaxation. The functional is GGA-PBE.

The structure in CIF format:
```
data_CaScZn3
_cell_length_a 5.151
_cell_length_b 5.151
_cell_length_c 5.151
_cell_angle_alpha 90.00
_cell_angle_beta 90.00
_cell_angle_gamma 90.00
_space_group_name_H-M_alt 'P m -3 m'
_space_group_IT_number 221
_space_group_name_Hall '-P 4 2 3'
loop_
_atom_site_label
_atom_site_type_symbol
_atom_site_fract_x
_atom_site_fract_y
_atom_site_fract_z
Ca1 Ca 0.000 0.000 0.000
Sc1 Sc 0.500 0.500 0.500
Zn1 Zn 0.000 0.000 0.500
```

***

Entry 4:
This record from Alexandria via LeMat-Bulk describes CaInAg2 after structural relaxation. The functional is GGA-PBE.

The structure in CIF format:
```
data_CaInAg2
_cell_length_a 3.5839
_cell_length_b 3.5839
_cell_length_c 26.7454
_cell_angle_alpha 90.00
_cell_angle_beta 90.00
_cell_angle_gamma 120.00
_space_group_name_H-M_alt 'R -3 m'
_space_group_IT_number 166
_space_group_name_Hall '-R 3 2"'
loop_
_atom_site_label
_atom_site_type_symbol
_atom_site_fract_x
_atom_site_fract_y
_atom_site_fract_z
Ca1 Ca 0.0000 0.0000 0.0000
In1 In 0.0000 0.0000 0.5000
Ag1 Ag 0.0000 0.0000 0.2457
```

***

Number 1: V 35.73 Å³ per atom, calculated formation energy 0.491 eV per atom. Number 2: V 16.61 Å³ per atom, calculated formation energy 0.978 eV per atom. Number 3: V 27.33 Å³ per atom, calculated formation energy 0.792 eV per atom. Number 4: V 24.79 Å³ per atom, calculated formation energy 0.000 eV per atom.